1.
A plane-wave DFT calculation with GGA-PBE was carried out for a geometry-optimized Tm2Pt3Au3 structure.

Properties
- ΔE_f: -0.863 eV/atom
- DFT total energy: -43.8 eV per cell
- SG: R32 (155)

Unit cell a=5.3680 b=5.3680 c=5.3680 alpha=95.28 beta=95.28 gamma=95.28
Element x y z (fractional)
Tm 0.2128 0.2128 0.2128
Tm 0.7872 0.7872 0.7872
Pt 0.0000 0.3021 0.6979
Pt 0.3021 0.6979 0.0000
Pt 0.6979 0.0000 0.3021
Au 0.2553 0.7447 0.5000
Au 0.5000 0.2553 0.7447
Au 0.7447 0.5000 0.2553

***

2.
A plane-wave DFT calculation with GGA-PBE was carried out for a geometry-optimized Np3Sb4Rh3 structure.

Properties
- DFT total energy: -163.3 eV per cell
- Raw formation energy: -429.2 meV/atom
- SG: I-43d (220)

Unit cell a=8.3477 b=8.3477 c=8.3477 alpha=109.47 beta=109.47 gamma=109.47
Element x y z (fractional)
Np 0.1250 0.8750 0.2500
Np 0.2500 0.1250 0.8750
Np 0.3750 0.6250 0.7500
Np 0.6250 0.7500 0.3750
Np 0.7500 0.3750 0.6250
Np 0.8750 0.2500 0.1250
Sb 0.0000 0.1719 0.5000
Sb 0.0000 0.6719 0.5000
Sb 0.1719 0.5000 0.0000
Sb 0.3281 0.3281 0.3281
Sb 0.5000 0.0000 0.1719
Sb 0.5000 0.0000 0.6719
Sb 0.6719 0.5000 0.0000
Sb 0.8281 0.8281 0.8281
Rh 0.1250 0.7500 0.8750
Rh 0.2500 0.6250 0.3750
Rh 0.3750 0.2500 0.6250
Rh 0.6250 0.3750 0.2500
Rh 0.7500 0.8750 0.1250
Rh 0.8750 0.1250 0.7500

***

3.
A plane-wave DFT calculation with GGA-PBE was carried out for a geometry-optimized Ba2TlNiPt structure.

Properties
- ΔE_f: 0.514 eV/atom
- DFT total energy: -15.5 eV per cell
- SG: P4/mmm (123)

Unit cell a=6.5126 b=6.5126 c=5.0214 alpha=90.00 beta=90.00 gamma=90.00
Element x y z (fractional)
Ba 0.0000 0.5000 0.0000
Ba 0.5000 0.0000 0.0000
Tl 0.0000 0.0000 0.0000
Ni 0.5000 0.5000 0.5000
Pt 0.0000 0.0000 0.5000

***

4.
A plane-wave DFT calculation with GGA-PBE was carried out for a geometry-optimized KBaCa2Rh structure.

Properties
- Polymorph energy (0 for the lowest one): 0 meV per atom
- ΔE_f: -0.129 eV/atom
- DFT total energy: -15.0 eV per cell
- SG: P4/mmm (123)

Unit cell a=5.7690 b=5.7690 c=6.1849 alpha=90.00 beta=90.00 gamma=90.00
Element x y z (fractional)
K 0.0000 0.0000 0.0000
Ba 0.5000 0.5000 0.0000
Ca 0.0000 0.5000 0.5000
Ca 0.5000 0.0000 0.5000
Rh 0.5000 0.5000 0.5000

***

5.
A plane-wave DFT calculation with GGA-PBE was carried out for a geometry-optimized Tm4In5Ga2 structure.

Properties
- ΔE_f: -0.439 eV/atom
- DFT total energy: -42.5 eV per cell
- SG: P2/m (10)

Unit cell a=7.8044 b=3.4756 c=9.7733 alpha=90.00 beta=94.94 gamma=90.00
Element x y z (fractional)
Tm 0.1783 0.0000 0.3699
Tm 0.2530 0.0000 0.9374
Tm 0.7470 0.0000 0.0626
Tm 0.8217 0.0000 0.6301
In 0.1750 0.5000 0.6554
In 0.4483 0.5000 0.1869
In 0.5000 0.5000 0.5000
In 0.5517 0.5000 0.8131
In 0.8250 0.5000 0.3446
Ga 0.0671 0.5000 0.1293
Ga 0.9329 0.5000 0.8707

***

6.
A plane-wave DFT calculation with GGA-PBE was carried out for a geometry-optimized MgAsO2 structure.

Properties
- Polymorph energy (0 for the lowest one): 907 meV per atom
- DFT total energy: -19.0 eV per cell
- Raw formation energy: -702.3 meV/atom
- SG: Fm-3m (225)

Unit cell a=4.0116 b=4.0116 c=4.0116 alpha=60.00 beta=60.00 gamma=60.00
Element x y z (fractional)
Mg 0.0000 0.0000 0.0000
As 0.5000 0.5000 0.5000
O 0.2500 0.2500 0.2500
O 0.7500 0.7500 0.7500

***

7.
A plane-wave DFT calculation with GGA-PBE was carried out for a geometry-optimized NbCdSbTe2 structure.

Properties
- Polymorph energy (0 for the lowest one): 0 meV per atom
- DFT total energy: -20.4 eV per cell
- Raw formation energy: 193.5 meV/atom
- SG: P4/mmm (123)

Unit cell a=5.4091 b=5.4091 c=5.5067 alpha=90.00 beta=90.00 gamma=90.00
Element x y z (fractional)
Nb 0.0000 0.0000 0.0000
Cd 0.5000 0.5000 0.5000
Sb 0.0000 0.0000 0.5000
Te 0.0000 0.5000 0.0000
Te 0.5000 0.0000 0.0000